## A
Density functional theory data (PBE-GGA) for a geometry-optimized La3RuAu structure.

Lattice parameters (Å, degrees): 8.6380 6.9369 10.0947 90.00 106.60 90.00
Space group P2_1/c (No. 14)
Inequivalent atoms, fractional coordinates:
La: 0.0708 0.2420 0.3949
La: 0.2822 0.7495 0.4430
La: 0.4081 0.0703 0.7392
Ru: 0.4035 0.2031 0.4813
Au: 0.2202 0.0352 0.1761

=====

## B
Density functional theory data (PBE-GGA) for a geometry-optimized La3RuAu structure.

Lattice parameters (Å, degrees): 14.1371 14.1371 14.1371 90.00 90.00 90.00
Space group Fd-3m (No. 227, origin choice 2)
Inequivalent atoms, fractional coordinates:
La: 0.0892 0.3750 0.3750
Ru: 0.0000 0.0000 0.0000
Au: 0.0000 0.0000 0.5000

=====

The calculated energies rank the structures as follows, beginning with the most stable: A, B.

=====

## A
Density functional theory data (PBE-GGA) for a geometry-optimized Co2NiMo structure.

Lattice parameters (Å, degrees): 2.5270 4.2209 4.6130 90.00 95.66 90.00
Space group P2/m (No. 10)
Inequivalent atoms, fractional coordinates:
Co: 0.2135 0.0000 0.2639
Ni: 0.0000 0.5000 0.5000
Mo: 0.5000 0.5000 0.0000

=====

## B
Density functional theory data (PBE-GGA) for a geometry-optimized Co2NiMo structure.

Lattice parameters (Å, degrees): 5.7938 5.7938 5.7938 90.00 90.00 90.00
Space group F-43m (No. 216)
Inequivalent atoms, fractional coordinates:
Co: 0.0000 0.0000 0.0000
Co: 0.2500 0.2500 0.2500
Ni: 0.0000 0.0000 0.5000
Mo: 0.2500 0.2500 0.7500

=====

The calculated energies rank the structures as follows, beginning with the most stable: A, B.

=====

## A
Density functional theory data (PBE-GGA) for a geometry-optimized LiNiCl structure.

Lattice parameters (Å, degrees): 8.7814 4.2063 6.7740 90.00 120.93 90.00
Space group Cm (No. 8)
Inequivalent atoms, fractional coordinates:
Li: 0.0000 0.0000 0.0000
Li: 0.1136 0.5000 0.6219
Ni: 0.2250 0.5000 0.0688
Ni: 0.2745 0.0000 0.9447
Cl: 0.0073 0.0000 0.6384
Cl: 0.0523 0.5000 0.2121

=====

## B
Density functional theory data (PBE-GGA) for a geometry-optimized LiNiCl structure.

Lattice parameters (Å, degrees): 3.8079 3.8079 7.3359 90.00 90.00 120.00
Space group P6_3/mmc (No. 194)
Inequivalent atoms, fractional coordinates:
Li: 0.0000 0.0000 0.0000
Ni: 0.3333 0.6667 0.2500
Cl: 0.3333 0.6667 0.7500

=====

The calculated energies rank the structures as follows, beginning with the most stable: A, B.

=====

## A
Density functional theory data (PBE-GGA) for a geometry-optimized CdSiBr3 structure.

Lattice parameters (Å, degrees): 5.4351 5.4351 5.4351 90.00 90.00 90.00
Space group Pm-3m (No. 221)
Inequivalent atoms, fractional coordinates:
Cd: 0.0000 0.0000 0.0000
Si: 0.5000 0.5000 0.5000
Br: 0.0000 0.0000 0.5000

=====

## B
Density functional theory data (PBE-GGA) for a geometry-optimized CdSiBr3 structure.

Lattice parameters (Å, degrees): 5.2654 5.2654 5.2654 90.00 90.00 90.00
Space group Pm-3m (No. 221)
Inequivalent atoms, fractional coordinates:
Cd: 0.0000 0.0000 0.0000
Si: 0.5000 0.5000 0.5000
Br: 0.0000 0.5000 0.5000

=====

The calculated energies rank the structures as follows, beginning with the most stable: B, A.

=====

## A
Density functional theory data (PBE-GGA) for a geometry-optimized LaZr2Au structure.

Lattice parameters (Å, degrees): 11.5478 3.3337 5.7871 90.00 117.28 90.00
Space group Cm (No. 8)
Inequivalent atoms, fractional coordinates:
La: 0.0000 0.0000 0.0000
Zr: 0.1988 0.0000 0.6034
Zr: 0.4338 0.0000 0.4565
Au: 0.2337 0.5000 0.0465

=====

## B
Density functional theory data (PBE-GGA) for a geometry-optimized LaZr2Au structure.

Lattice parameters (Å, degrees): 3.3522 5.4207 5.2557 90.00 90.00 90.00
Space group Pmm2 (No. 25)
Inequivalent atoms, fractional coordinates:
La: 0.0000 0.0000 0.0000
Zr: 0.0000 0.5000 0.4987
Zr: 0.5000 0.0000 0.5004
Au: 0.5000 0.5000 0.9977

=====

The calculated energies rank the structures as follows, beginning with the most stable: A, B.

=====

## A
Density functional theory data (PBE-GGA) for a geometry-optimized Cd2PW structure.

Lattice parameters (Å, degrees): 3.2089 4.7348 10.8242 90.00 90.00 90.00
Space group Cmm2 (No. 35)
Inequivalent atoms, fractional coordinates:
Cd: 0.0000 0.0000 0.0000
Cd: 0.0000 0.5000 0.2795
P: 0.0000 0.0000 0.6016
W: 0.0000 0.5000 0.7663

=====

## B
Density functional theory data (PBE-GGA) for a geometry-optimized Cd2PW structure.

Lattice parameters (Å, degrees): 5.1236 5.1236 2.8598 90.00 90.00 90.00
Space group P4/mmm (No. 123)
Inequivalent atoms, fractional coordinates:
Cd: 0.0000 0.5000 0.0000
P: 0.0000 0.0000 0.5000
W: 0.5000 0.5000 0.5000

=====

The calculated energies rank the structures as follows, beginning with the most stable: A, B.